Computed, not measured: LaScCl2 after structural relaxation at the GGA-PBEsol level of DFT.

Lattice parameters (Å, degrees): 3.610 3.610 6.947 90.00 90.00 90.00
Fractional coordinates of all 4 atoms:
La  0.000  0.000  0.000
Sc  0.500  0.500  0.359
Cl  0.000  0.000  0.427
Cl  0.500  0.500  0.747

**Energy above the most stable polymorph in this dataset**: 0 meV/atom
**Uncorrected formation energy**: -1.426 eV/atom
**Space-group type**: P4mm
**D(E_F)**: 4.6 states/eV/f.u.